1.
Crystalline Ta2SeN at its relaxed geometry, computed with PBE-GGA.

abc: 6.0709 6.0709 6.0709
angles: 90.00 90.00 90.00
With the nearest neighbours (Å) after each atom.
Space group Fm-3m (No. 225)
Asymmetric unit:
Ta 0.2500 0.2500 0.2500  4 Se 2.63, 4 N 2.63
Se 0.0000 0.0000 0.0000  8 Ta 2.63
N 0.0000 0.0000 0.5000  8 Ta 2.63

Summary:
Mass density ... 13.50 g cm⁻³
Raw total energy ... -138.037 eV per cell
Offset from the most stable computed form ... 1.927 eV/f.u.

---

2.
Crystalline TaTe2SeN at its relaxed geometry, computed with PBE-GGA.

abc: 5.5151 5.5151 3.6033
angles: 90.00 90.00 90.00
With the nearest neighbours (Å) after each atom.
Space group P4/mmm (No. 123)
Asymmetric unit:
Ta 0.0000 0.0000 0.0000  8 Te 3.29, 2 Ta 3.60
Te 0.0000 0.5000 0.5000  2 Se 2.76
Se 0.5000 0.5000 0.5000  2 N 1.80
N 0.5000 0.5000 0.0000  2 Se 1.80

Summary:
Mass density ... 8.02 g cm⁻³
Raw total energy ... -23.603 eV per cell
Offset from the most stable computed form ... 5.117 eV/f.u.

---

3.
Crystalline TaTe2SeN at its relaxed geometry, computed with PBE-GGA.

abc: 5.5270 5.5270 3.9069
angles: 90.00 90.00 90.00
With the nearest neighbours (Å) after each atom.
Space group P4/mmm (No. 123)
Asymmetric unit:
Ta 0.0000 0.0000 0.0000  2 N 1.95
Te 0.0000 0.5000 0.0000  2 Ta 2.76
Se 0.5000 0.5000 0.5000  8 Te 3.38
N 0.0000 0.0000 0.5000  2 Ta 1.95

Summary:
Mass density ... 7.36 g cm⁻³
Raw total energy ... -28.720 eV per cell
Offset from the most stable computed form ... 0.000 eV/f.u.

---

4.
Crystalline TaTlSeN2 at its relaxed geometry, computed with PBE-GGA.

abc: 4.1404 4.1404 5.3569
angles: 90.00 90.00 90.00
With the nearest neighbours (Å) after each atom.
Space group P4/mmm (No. 123)
Asymmetric unit:
Ta 0.0000 0.0000 0.0000  4 Se 2.93
Tl 0.5000 0.5000 0.5000  4 N 2.07
Se 0.5000 0.5000 0.0000  2 Tl 2.68, 4 Ta 2.93
N 0.0000 0.5000 0.5000  2 Tl 2.07

Summary:
Mass density ... 8.90 g cm⁻³
Raw total energy ... -23.474 eV per cell
Offset from the most stable computed form ... 10.555 eV/f.u.

---

5.
Crystalline TaTlSe2N at its relaxed geometry, computed with PBE-GGA.

abc: 5.2763 5.2763 3.9628
angles: 90.00 90.00 90.00
With the nearest neighbours (Å) after each atom.
Space group P4/mmm (No. 123)
Asymmetric unit:
Ta 0.0000 0.0000 0.0000  2 N 1.98
Tl 0.5000 0.5000 0.5000  8 Se 3.30
Se 0.0000 0.5000 0.0000  2 Ta 2.64
N 0.0000 0.0000 0.5000  2 Ta 1.98

Summary:
Mass density ... 8.39 g cm⁻³
Raw total energy ... -30.710 eV per cell
Offset from the most stable computed form ... 0.000 eV/f.u.

---

6.
Crystalline TaTlSe2N at its relaxed geometry, computed with PBE-GGA.

abc: 5.3375 5.3375 3.9227
angles: 90.00 90.00 90.00
With the nearest neighbours (Å) after each atom.
Space group P4/mmm (No. 123)
Asymmetric unit:
Ta 0.0000 0.0000 0.0000  8 Se 3.31
Tl 0.5000 0.5000 0.5000  2 N 1.96
Se 0.0000 0.5000 0.5000  2 Tl 2.67
N 0.5000 0.5000 0.0000  2 Tl 1.96

Summary:
Mass density ... 8.28 g cm⁻³
Raw total energy ... -20.895 eV per cell
Offset from the most stable computed form ... 9.815 eV/f.u.

---

7.
Crystalline TaTlSeN2 at its relaxed geometry, computed with PBE-GGA.

abc: 4.0838 4.0838 5.4865
angles: 90.00 90.00 90.00
With the nearest neighbours (Å) after each atom.
Space group P4/mmm (No. 123)
Asymmetric unit:
Ta 0.0000 0.0000 0.0000  4 N 2.04
Tl 0.5000 0.5000 0.5000  4 Se 2.89
Se 0.0000 0.0000 0.5000  2 Ta 2.74, 4 Tl 2.89
N 0.0000 0.5000 0.0000  2 Ta 2.04

Summary:
Mass density ... 8.93 g cm⁻³
Raw total energy ... -34.028 eV per cell
Offset from the most stable computed form ... 0.000 eV/f.u.

---

8.
Crystalline TaVSe2N at its relaxed geometry, computed with PBE-GGA.

abc: 5.1315 5.1315 3.8686
angles: 90.00 90.00 90.00
With the nearest neighbours (Å) after each atom.
Space group P4/mmm (No. 123)
Asymmetric unit:
Ta 0.0000 0.0000 0.0000  2 N 1.93
V 0.5000 0.5000 0.5000  8 Se 3.21
Se 0.0000 0.5000 0.0000  2 Ta 2.57
N 0.0000 0.0000 0.5000  2 Ta 1.93

Summary:
Mass density ... 6.58 g cm⁻³
Raw total energy ... -34.506 eV per cell
Offset from the most stable computed form ... 0.162 eV/f.u.

---

9.
Crystalline TaVSe2N at its relaxed geometry, computed with PBE-GGA.

abc: 4.9472 4.9472 3.5536
angles: 90.00 90.00 90.00
With the nearest neighbours (Å) after each atom.
Space group P4/mmm (No. 123)
Asymmetric unit:
Ta 0.0000 0.0000 0.0000  8 Se 3.05
V 0.5000 0.5000 0.5000  2 N 1.78
Se 0.0000 0.5000 0.5000  2 V 2.47
N 0.5000 0.5000 0.0000  2 V 1.78

Summary:
Mass density ... 7.71 g cm⁻³
Raw total energy ... -34.668 eV per cell
Offset from the most stable computed form ... 0.000 eV/f.u.

---

10.
Crystalline TaWSe2N at its relaxed geometry, computed with PBE-GGA.

abc: 5.0684 5.0684 3.7502
angles: 90.00 90.00 90.00
With the nearest neighbours (Å) after each atom.
Space group P4/mmm (No. 123)
Asymmetric unit:
Ta 0.0000 0.0000 0.0000  8 Se 3.15
W 0.5000 0.5000 0.5000  2 N 1.88
Se 0.0000 0.5000 0.5000  2 W 2.53
N 0.5000 0.5000 0.0000  2 W 1.88

Summary:
Mass density ... 9.25 g cm⁻³
Raw total energy ... -36.725 eV per cell
Offset from the most stable computed form ... 0.000 eV/f.u.

---

11.
Crystalline TaWSe2N at its relaxed geometry, computed with PBE-GGA.

abc: 5.1406 5.1406 3.8365
angles: 90.00 90.00 90.00
With the nearest neighbours (Å) after each atom.
Space group P4/mmm (No. 123)
Asymmetric unit:
Ta 0.0000 0.0000 0.0000  2 N 1.92
W 0.5000 0.5000 0.5000  8 Se 3.21
Se 0.0000 0.5000 0.0000  2 Ta 2.57
N 0.0000 0.0000 0.5000  2 Ta 1.92

Summary:
Mass density ... 8.79 g cm⁻³
Raw total energy ... -36.158 eV per cell
Offset from the most stable computed form ... 0.567 eV/f.u.

---

12.
Crystalline YTaSeN2 at its relaxed geometry, computed with PBE-GGA.

abc: 4.0832 4.0832 5.1095
angles: 90.00 90.00 90.00
With the nearest neighbours (Å) after each atom.
Space group P4/mmm (No. 123)
Asymmetric unit:
Y 0.0000 0.0000 0.0000  4 Se 2.89
Ta 0.5000 0.5000 0.5000  4 N 2.04
Se 0.5000 0.5000 0.0000  2 Ta 2.55
N 0.0000 0.5000 0.5000  2 Ta 2.04

Summary:
Mass density ... 7.35 g cm⁻³
Raw total energy ... -41.829 eV per cell
Offset from the most stable computed form ... 0.000 eV/f.u.

---

13.
Crystalline YTaSeN2 at its relaxed geometry, computed with PBE-GGA.

abc: 4.2316 4.2316 5.3889
angles: 90.00 90.00 90.00
With the nearest neighbours (Å) after each atom.
Space group P4/mmm (No. 123)
Asymmetric unit:
Y 0.0000 0.0000 0.0000  4 N 2.12
Ta 0.5000 0.5000 0.5000  4 Se 2.99
Se 0.0000 0.0000 0.5000  2 Y 2.69, 4 Ta 2.99
N 0.0000 0.5000 0.0000  2 Y 2.12

Summary:
Mass density ... 6.48 g cm⁻³
Raw total energy ... -32.559 eV per cell
Offset from the most stable computed form ... 9.270 eV/f.u.

---

14.
Crystalline YTa2SeN at its relaxed geometry, computed with PBE-GGA.

abc: 5.1403 5.1403 5.0270
angles: 90.00 90.00 90.00
With the nearest neighbours (Å) after each atom.
Space group P4/mmm (No. 123)
Asymmetric unit:
Y 0.0000 0.0000 0.0000  2 Se 2.51, 4 Ta 2.57
Ta 0.0000 0.5000 0.0000  2 Y 2.57
Se 0.0000 0.0000 0.5000  2 Y 2.51
N 0.5000 0.5000 0.5000  8 Ta 3.59, 4 Se 3.63

Summary:
Mass density ... 6.80 g cm⁻³
Raw total energy ... -26.942 eV per cell

---

15.
Crystalline TaZnSeN2 at its relaxed geometry, computed with PBE-GGA.

abc: 3.9122 3.9122 5.0652
angles: 90.00 90.00 90.00
With the nearest neighbours (Å) after each atom.
Space group P4/mmm (No. 123)
Asymmetric unit:
Ta 0.0000 0.0000 0.0000  2 Se 2.53, 4 Zn 2.77
Zn 0.5000 0.5000 0.0000  4 Ta 2.77
Se 0.0000 0.0000 0.5000  4 N 1.96
N 0.0000 0.5000 0.5000  2 Se 1.96

Summary:
Mass density ... 7.57 g cm⁻³
Raw total energy ... -24.068 eV per cell
Offset from the most stable computed form ... 8.566 eV/f.u.